No. 1
Cs7H4F4 PBE relaxed; space group = I4/mmm
1.0
0.702 1.169 7.653
-7.156 -6.905 5.659
8.000 -6.972 4.279
Cs F H
14 8 8
Direct
0.253 0.000 0.000 Cs
0.142 0.358 0.358 Cs
0.000 0.270 0.730 Cs
0.500 0.642 0.358 Cs
0.500 0.358 0.642 Cs
0.730 0.270 0.270 Cs
0.287 0.000 0.425 Cs
0.000 0.730 0.270 Cs
0.858 0.642 0.642 Cs
0.270 0.730 0.730 Cs
0.713 0.000 0.575 Cs
0.713 0.575 0.000 Cs
0.287 0.425 0.000 Cs
0.747 0.000 0.000 Cs
0.893 0.500 0.214 F
0.607 0.786 0.500 F
0.893 0.214 0.500 F
0.393 0.500 0.214 F
0.107 0.500 0.786 F
0.393 0.214 0.500 F
0.607 0.500 0.786 F
0.107 0.786 0.500 F
0.883 0.234 0.000 H
0.883 0.000 0.234 H
0.117 0.766 0.000 H
0.500 0.834 0.166 H
0.500 0.166 0.834 H
0.117 0.000 0.766 H
0.666 0.834 0.834 H
0.334 0.166 0.166 H

=====

No. 2
Cs7HF5 PBE relaxed; space group = Cm
1.0
-2.712 3.205 -0.692
-1.231 -2.313 7.198
19.896 18.866 9.398
Cs H F
14 2 10
Direct
0.623 0.247 0.750 Cs
0.908 0.816 0.408 Cs
0.909 0.818 0.092 Cs
0.361 0.722 0.968 Cs
0.640 0.280 0.032 Cs
0.377 0.753 0.251 Cs
0.148 0.297 0.166 Cs
0.092 0.184 0.907 Cs
0.092 0.185 0.592 Cs
0.148 0.296 0.335 Cs
0.852 0.705 0.666 Cs
0.639 0.279 0.468 Cs
0.852 0.704 0.834 Cs
0.361 0.722 0.532 Cs
0.715 0.430 0.251 H
0.285 0.570 0.749 H
0.732 0.464 0.931 F
0.547 0.094 0.120 F
0.455 0.910 0.620 F
0.269 0.538 0.068 F
0.000 0.000 0.500 F
0.268 0.536 0.431 F
0.545 0.090 0.380 F
0.732 0.464 0.569 F
0.000 0.001 0.000 F
0.454 0.909 0.880 F

=====

No. 3
Cs3HF2 PBE relaxed; space group = C2/c
1.0
7.564 0.220 0.379
-1.473 7.441 -0.273
-1.473 -3.926 6.327
Cs F H
6 4 2
Direct
0.500 0.000 0.500 Cs
0.502 0.328 0.155 Cs
0.000 0.500 0.000 Cs
0.998 0.845 0.672 Cs
0.498 0.672 0.845 Cs
0.002 0.155 0.328 Cs
0.750 0.084 0.916 F
0.750 0.749 0.251 F
0.250 0.251 0.749 F
0.250 0.916 0.084 F
0.750 0.418 0.582 H
0.250 0.582 0.418 H

=====

No. 4
Cs4HF3 PBE relaxed; space group = Pm-3m
1.0
-3.634 -1.301 -4.801
4.533 -3.315 -2.532
-2.049 -5.026 2.913
F Cs H
3 4 1
Direct
0.500 0.500 0.000 F
0.000 0.500 0.500 F
0.500 0.000 0.500 F
0.000 0.000 0.500 Cs
0.500 0.500 0.500 Cs
0.500 0.000 0.000 Cs
0.000 0.500 0.000 Cs
0.000 0.000 0.000 H

=====

No. 5
CsH3F3 PBE relaxed; space group = R-3m
1.0
-4.589 0.755 4.823
1.244 -2.245 6.189
1.073 4.359 4.992
F H Cs
6 6 2
Direct
0.737 0.737 0.264 F
0.263 0.737 0.736 F
0.737 0.263 0.264 F
0.263 0.263 0.736 F
0.263 0.737 0.264 F
0.737 0.263 0.736 F
0.373 0.373 0.627 H
0.373 0.627 0.373 H
0.627 0.627 0.373 H
0.627 0.373 0.627 H
0.627 0.373 0.373 H
0.373 0.627 0.627 H
0.250 0.250 0.249 Cs
0.750 0.750 0.751 Cs

=====

No. 6
Cs8H6F PBE relaxed; space group = P-3
1.0
4.837 0.000 0.000
0.000 9.602 -5.544
0.000 0.000 11.088
Cs F H
8 1 6
Direct
0.736 0.323 0.036 Cs
0.233 0.667 0.333 Cs
0.264 0.286 0.323 Cs
0.767 0.333 0.667 Cs
0.736 0.964 0.286 Cs
0.264 0.677 0.964 Cs
0.264 0.036 0.714 Cs
0.736 0.714 0.677 Cs
0.500 0.000 0.000 F
0.757 0.654 0.119 H
0.243 0.119 0.466 H
0.243 0.346 0.881 H
0.757 0.881 0.534 H
0.757 0.466 0.346 H
0.243 0.534 0.654 H

=====

The following size of the total moment values (in μB per cell) correspond, in order, to the records above: 2.00 0.00 0.00 0.00 0.00 0.00.
The following total DFT energy (no corrections) values (in eV/f.u.) correspond, in order, to the records above: -46.38 -44.67 -20.59 -28.61 -27.20 -33.77.